1.
Entry from Alexandria: a geometry-optimized PrSn2Pd8 structure (GGA-PBE).

Properties
SG	C2/m (12)

Geometry as CIF:
```
data_PrSn2Pd8
_space_group_name_H-M_alt 'P 1'
_space_group_IT_number 1
_cell_length_a 4.936
_cell_length_b 7.284
_cell_length_c 7.284
_cell_angle_alpha 117.05
_cell_angle_beta 104.67
_cell_angle_gamma 104.67
loop_
_space_group_symop_operation_xyz
'x,y,z'
loop_
_atom_site_label
_atom_site_type_symbol
_atom_site_fract_x
_atom_site_fract_y
_atom_site_fract_z
Pd1 Pd 0.136 0.088 0.326
Pd2 Pd 0.310 0.576 0.576
Pd3 Pd 0.690 0.424 0.424
Pd4 Pd 0.864 0.674 0.912
Pr1 Pr 0.500 0.000 0.000
Pd5 Pd 0.500 0.228 0.772
Pd6 Pd 0.864 0.912 0.674
Pd7 Pd 0.500 0.772 0.228
Sn1 Sn 0.000 0.689 0.311
Sn2 Sn 0.000 0.311 0.689
Pd8 Pd 0.136 0.326 0.088
```



2.
Entry from Alexandria: a geometry-optimized Pr3SnPd8 structure (GGA-PBE).

Properties
SG	R3m (160)

Geometry as CIF:
```
data_Pr3SnPd8
_space_group_name_H-M_alt 'P 1'
_space_group_IT_number 1
_cell_length_a 5.541
_cell_length_b 5.541
_cell_length_c 9.542
_cell_angle_alpha 73.12
_cell_angle_beta 73.12
_cell_angle_gamma 60.00
loop_
_space_group_symop_operation_xyz
'x,y,z'
loop_
_atom_site_label
_atom_site_type_symbol
_atom_site_fract_x
_atom_site_fract_y
_atom_site_fract_z
Pr1 Pr 0.988 0.988 0.035
Sn1 Sn 0.861 0.861 0.417
Pd1 Pd 0.940 0.940 0.685
Pr2 Pr 0.378 0.378 0.866
Pr3 Pr 0.509 0.509 0.474
Pd2 Pd 0.439 0.943 0.180
Pd3 Pd 0.190 0.190 0.431
Pd4 Pd 0.689 0.689 0.932
Pd5 Pd 0.943 0.439 0.180
Pd6 Pd 0.435 0.940 0.685
Pd7 Pd 0.439 0.439 0.180
Pd8 Pd 0.940 0.435 0.685
```



3.
Entry from Alexandria: a geometry-optimized Pr3Sn3Pd2 structure (GGA-PBE).

Properties
SG	Pnma (62)
energy relative to the lowest polymorph listed for this composition	27	meV per atom

Geometry as CIF:
```
data_Pr3Sn3Pd2
_space_group_name_H-M_alt 'P 1'
_space_group_IT_number 1
_cell_length_a 6.139
_cell_length_b 8.597
_cell_length_c 15.773
_cell_angle_alpha 90.00
_cell_angle_beta 90.00
_cell_angle_gamma 90.00
loop_
_space_group_symop_operation_xyz
'x,y,z'
loop_
_atom_site_label
_atom_site_type_symbol
_atom_site_fract_x
_atom_site_fract_y
_atom_site_fract_z
Pr1 Pr 0.370 0.675 0.750
Pr2 Pr 0.126 0.467 0.110
Pr3 Pr 0.374 0.967 0.390
Pr4 Pr 0.626 0.033 0.890
Sn1 Sn 0.608 0.306 0.462
Pr5 Pr 0.626 0.033 0.610
Sn2 Sn 0.882 0.819 0.750
Pd1 Pd 0.623 0.592 0.391
Pd2 Pd 0.377 0.408 0.609
Pd3 Pd 0.623 0.592 0.109
Pd4 Pd 0.877 0.092 0.391
Sn3 Sn 0.392 0.694 0.538
Pr6 Pr 0.630 0.325 0.250
Sn4 Sn 0.892 0.806 0.462
Sn5 Sn 0.892 0.806 0.038
Pr7 Pr 0.870 0.825 0.250
Pr8 Pr 0.374 0.967 0.110
Pd5 Pd 0.877 0.092 0.109
Sn6 Sn 0.392 0.694 0.962
Sn7 Sn 0.608 0.306 0.038
Pd6 Pd 0.123 0.908 0.609
Sn8 Sn 0.618 0.319 0.750
Pd7 Pd 0.377 0.408 0.891
Sn9 Sn 0.108 0.194 0.538
Sn10 Sn 0.108 0.194 0.962
Pd8 Pd 0.123 0.908 0.891
Sn11 Sn 0.118 0.181 0.250
Pr9 Pr 0.126 0.467 0.390
Pr10 Pr 0.130 0.175 0.750
Pr11 Pr 0.874 0.533 0.890
Sn12 Sn 0.382 0.681 0.250
Pr12 Pr 0.874 0.533 0.610
```



4.
Entry from Alexandria: a geometry-optimized Pr4Sn3Pd structure (GGA-PBE).

Properties
SG	Pmm2 (25)

Geometry as CIF:
```
data_Pr4Sn3Pd
_space_group_name_H-M_alt 'P 1'
_space_group_IT_number 1
_cell_length_a 4.509
_cell_length_b 4.506
_cell_length_c 11.678
_cell_angle_alpha 90.00
_cell_angle_beta 90.00
_cell_angle_gamma 90.00
loop_
_space_group_symop_operation_xyz
'x,y,z'
loop_
_atom_site_label
_atom_site_type_symbol
_atom_site_fract_x
_atom_site_fract_y
_atom_site_fract_z
Sn1 Sn 0.500 0.000 0.921
Pd1 Pd 0.500 0.500 0.079
Pr1 Pr 0.500 0.500 0.348
Pr2 Pr 0.000 0.000 0.134
Pr3 Pr 0.000 0.500 0.874
Sn2 Sn 0.000 0.500 0.589
Sn3 Sn 0.000 0.000 0.413
Pr4 Pr 0.500 0.000 0.641
```



5.
Entry from Alexandria: a geometry-optimized PrSn3Pd3 structure (GGA-PBE).

Properties
SG	Pm-3n (223)
energy relative to the lowest polymorph listed for this composition	297	meV per atom

Geometry as CIF:
```
data_PrSn3Pd3
_space_group_name_H-M_alt 'P 1'
_space_group_IT_number 1
_cell_length_a 7.255
_cell_length_b 7.255
_cell_length_c 7.255
_cell_angle_alpha 90.00
_cell_angle_beta 90.00
_cell_angle_gamma 90.00
loop_
_space_group_symop_operation_xyz
'x,y,z'
loop_
_atom_site_label
_atom_site_type_symbol
_atom_site_fract_x
_atom_site_fract_y
_atom_site_fract_z
Pd1 Pd 0.000 0.250 0.500
Sn1 Sn 0.750 0.000 0.500
Pd2 Pd 0.750 0.500 0.000
Pr1 Pr 0.500 0.500 0.500
Sn2 Sn 0.250 0.000 0.500
Pr2 Pr 0.000 0.000 0.000
Sn3 Sn 0.000 0.500 0.750
Sn4 Sn 0.500 0.250 0.000
Pd3 Pd 0.250 0.500 0.000
Sn5 Sn 0.500 0.750 0.000
Pd4 Pd 0.500 0.000 0.250
Pd5 Pd 0.500 0.000 0.750
Sn6 Sn 0.000 0.500 0.250
Pd6 Pd 0.000 0.750 0.500
```



6.
Entry from Alexandria: a geometry-optimized SrPrSn2Pd5 structure (GGA-PBE).

Properties
SG	P4/mmm (123)

Geometry as CIF:
```
data_SrPrSn2Pd5
_space_group_name_H-M_alt 'P 1'
_space_group_IT_number 1
_cell_length_a 4.706
_cell_length_b 4.706
_cell_length_c 8.849
_cell_angle_alpha 90.00
_cell_angle_beta 90.00
_cell_angle_gamma 90.00
loop_
_space_group_symop_operation_xyz
'x,y,z'
loop_
_atom_site_label
_atom_site_type_symbol
_atom_site_fract_x
_atom_site_fract_y
_atom_site_fract_z
Pd1 Pd 0.000 0.500 0.715
Sn1 Sn 0.500 0.500 0.840
Sn2 Sn 0.500 0.500 0.160
Pd2 Pd 0.500 0.500 0.500
Sr1 Sr 0.000 0.000 0.500
Pr1 Pr 0.000 0.000 0.000
Pd3 Pd 0.500 0.000 0.285
Pd4 Pd 0.500 0.000 0.715
Pd5 Pd 0.000 0.500 0.285
```



no.,ΔH_f (0 K) (eV per atom)
1,-0.457
2,-0.698
3,-0.833
4,-0.739
5,-0.228
6,-0.596